Record 1
CsCaV2Cl8, relaxed, DFT PBE; ΔE_f (raw) = -1.525 eV/atom
1.0
6.736 0.000 0.000
-3.368 5.833 0.000
0.000 0.000 9.927
Cs Ca V Cl
1 1 2 8
Cartesian
0.000 0.000 0.000
0.000 0.000 4.963
0.000 3.889 7.254
3.368 1.944 2.672
-1.054 1.910 6.652
-1.187 5.791 6.652
1.127 1.867 3.274
0.000 3.889 9.506
3.368 1.944 0.420
2.241 3.966 6.652
4.555 0.042 3.274
4.422 3.924 3.274

Record 2
Sr2InHgPt, relaxed, DFT PBE; DFT formation energy = -531 meV/atom
1.0
5.881 0.000 0.000
0.000 5.881 0.000
0.000 0.000 5.147
Sr In Hg Pt
2 1 1 1
Cartesian
0.000 2.941 0.000
2.941 0.000 0.000
0.000 0.000 2.573
2.941 2.941 2.573
0.000 0.000 0.000

Record 3
TaMoAsBr2, relaxed, DFT PBE; E above lowest polymorph = 360 meV per atom; ΔE_f (raw) = 1.214 eV/atom
1.0
5.059 0.000 0.000
0.000 5.059 0.000
0.000 0.000 5.003
Ta Mo As Br
1 1 1 2
Cartesian
0.000 0.000 0.000
2.530 2.530 2.501
2.530 2.530 0.000
0.000 2.530 2.501
2.530 0.000 2.501

Record 4
Ni3RuN, relaxed, DFT PBE; E above lowest polymorph = 2051 meV per atom; ΔE_f (raw) = 2.364 eV/atom
1.0
4.471 0.000 0.000
0.000 4.471 0.000
0.000 0.000 4.471
Ni Ru N
3 1 1
Cartesian
0.000 0.000 2.236
0.000 2.236 0.000
2.236 0.000 0.000
0.000 0.000 0.000
2.236 2.236 2.236

Record 5
CaPd2Pb3, relaxed, DFT PBE; DFT formation energy = -391 meV/atom
1.0
4.489 0.000 0.000
0.000 8.666 0.000
0.000 0.000 7.549
Ca Pd Pb
2 4 6
Cartesian
0.000 0.670 0.000
0.000 7.996 3.775
0.000 3.228 1.819
0.000 5.438 5.594
2.245 1.100 5.349
2.245 7.565 1.574
0.000 2.745 4.709
0.000 5.920 0.934
2.245 1.579 2.422
2.245 3.620 7.220
2.245 5.045 3.445
2.245 7.086 6.197

Record 6
Ce2MgP4Ir3, relaxed, DFT PBE; DFT formation energy = -986 meV/atom
1.0
4.207 0.000 0.000
0.000 4.207 0.000
0.000 0.000 9.738
Ce Mg P Ir
2 1 4 3
Cartesian
0.000 2.104 2.313
2.104 0.000 7.425
0.000 0.000 4.869
0.000 0.000 0.000
0.000 2.104 6.285
2.104 0.000 3.453
2.104 2.104 0.000
0.000 2.104 8.678
2.104 0.000 1.060
2.104 2.104 4.869